A plane-wave DFT calculation with PBE was carried out for crystalline Tm5Tl2AgRh2 at its relaxed geometry.

Summary:
ΔE_f: -0.534 eV per atom
Calculated density: 10.7 Mg/m³
Symmetry: P4/mbm

a = 3.5844 Å, b = 11.6505 Å, c = 11.6505 Å
α = 90.00°, β = 90.00°, γ = 90.00°
Positions (direct):
Tm 0.5000 0.5769 0.7017
Tm 0.5000 0.9231 0.2017
Tm 0.5000 0.2983 0.5769
Tm 0.5000 0.0000 0.5000
Tm 0.5000 0.7017 0.4231
Tm 0.5000 0.2017 0.0769
Tm 0.5000 0.7983 0.9231
Tm 0.5000 0.5000 0.0000
Tm 0.5000 0.4231 0.2983
Tm 0.5000 0.0769 0.7983
Tl 0.0000 0.3280 0.8280
Tl 0.0000 0.6720 0.1720
Tl 0.0000 0.8280 0.6720
Tl 0.0000 0.1720 0.3280
Rh 0.0000 0.8671 0.3671
Rh 0.0000 0.3671 0.1329
Rh 0.0000 0.1329 0.6329
Rh 0.0000 0.6329 0.8671
Ag 0.0000 0.0000 0.0000
Ag 0.0000 0.5000 0.5000